## EuB3O6 (GGA-PBEsol)

Data for an optimized crystal structure of EuB3O6.

## Properties
formation energy without anion corrections	-26.0	eV/f.u.
DOS(E_F)	1.23	states/eV/atom
space group	No. 15
mass density	4.66	Mg/m³

```
EuB3O6
1.0
-3.234 -5.350 0.996
-1.039 -1.852 -5.964
2.705 -5.373 -1.848
Eu B O
2 6 12
direct
0.798 0.202 0.750
0.202 0.798 0.250
0.779 0.221 0.250
0.221 0.779 0.750
0.339 0.207 0.587
0.793 0.661 0.913
0.661 0.793 0.413
0.207 0.339 0.087
0.783 0.008 0.208
0.208 0.387 0.502
0.613 0.792 0.998
0.792 0.613 0.498
0.213 0.584 0.994
0.416 0.787 0.506
0.787 0.416 0.006
0.584 0.213 0.494
0.217 0.992 0.792
0.008 0.783 0.708
0.387 0.208 0.002
0.992 0.217 0.292
```


## RbNa2Au2 (GGA-PBEsol)

Data for an optimized crystal structure of RbNa2Au2.

## Properties
DOS(E_F)	0.31	states/eV/atom
space group	No. 139
mass density	6.14	Mg/m³
energy of formation from the pure elements	-0.167	eV per atom

```
RbNa2Au2
1.0
-4.191 -0.975 -1.845
2.063 -2.556 -3.337
0.632 -3.494 6.352
Na Au Rb
2 2 1
direct
0.250 0.750 0.500
0.750 0.250 0.500
0.396 0.396 0.792
0.604 0.604 0.208
0.000 0.000 0.000
```


## Ca2LaPt (GGA-PBEsol)

Data for an optimized crystal structure of Ca2LaPt.

## Properties
DOS(E_F)	0.66	states/eV/atom
space group	No. 38
mass density	5.22	Mg/m³
energy of formation from the pure elements	-0.528	eV per atom

```
Ca2LaPt
1.0
3.867 0.000 0.000
0.000 4.275 0.000
0.000 -2.138 7.970
Ca Pt La
2 1 1
direct
0.000 0.205 0.410
0.500 0.542 0.084
0.500 0.356 0.712
0.000 0.887 0.773
```


## SnTePbSe (GGA-PBEsol)

Data for an optimized crystal structure of SnTePbSe.

## Properties
formation energy without anion corrections	-1.4	eV/f.u.
DOS(E_F)	0.04	states/eV/atom
space group	No. 123
mass density	7.39	Mg/m³

```
SnTePbSe
1.0
-3.648 -0.362 2.428
0.600 -4.349 0.254
3.349 0.762 5.145
Pb Te Sn Se
1 1 1 1
direct
0.000 0.000 0.000
0.500 0.500 0.000
0.500 0.500 0.500
0.000 0.000 0.500
```


## Sr2CdTc (GGA-PBEsol)

Data for an optimized crystal structure of Sr2CdTc.

## Properties
DOS(E_F)	1.20	states/eV/atom
space group	No. 166
mass density	5.93	Mg/m³
energy of formation from the pure elements	0.733	eV per atom

```
Sr2CdTc
1.0
-3.331 0.224 -1.017
-1.022 -1.514 -2.974
-3.593 -9.044 3.791
Cd Sr Tc
1 2 1
direct
0.000 0.000 0.000
0.240 0.240 0.281
0.760 0.760 0.719
0.500 0.500 0.500
```


## LiYTi2 (GGA-PBEsol)

Data for an optimized crystal structure of LiYTi2.

## Properties
DOS(E_F)	1.54	states/eV/atom
space group	No. 122
mass density	4.08	Mg/m³
energy of formation from the pure elements	0.579	eV per atom

```
LiYTi2
1.0
3.867 0.000 0.000
0.000 3.867 0.000
-1.933 -1.933 10.418
Y Li Ti
2 2 4
direct
0.250 0.750 0.500
0.000 0.000 0.000
0.750 0.250 0.500
0.500 0.500 0.000
0.862 0.375 0.250
0.388 0.875 0.250
0.625 0.612 0.750
0.125 0.138 0.750
```


no.,size of the total moment (μB/f.u.)
1,6.0
2,0.0
3,0.0
4,0.0
5,0.8
6,0.3